Compound: Sc2ZnCd5
Source: Alexandria
Functional: PBE-GGA
Structure: relaxed

The space group is R-3m (No. 166, hexagonal axes) and the conventional cell measures 4.8918, 4.8918 and 24.7033 Å, with angles of 90.00, 90.00 and 120.00 degrees. The asymmetric unit holds Sc at (0.0000, 0.0000, 0.1215), Zn at (0.0000, 0.0000, 0.0000), Cd at (0.0000, 0.0000, 0.2481), Cd at (0.0000, 0.0000, 0.3758) and Cd at (0.0000, 0.0000, 0.5000).

The formation energy comes out at -0.13 eV/atom.


Compound: Mg3ZnCd5
Source: Alexandria
Functional: PBE-GGA
Structure: relaxed

The space group is I4/mcm (No. 140) and the conventional cell measures 8.652, 8.652 and 11.215 Å, with angles of 90.00, 90.00 and 90.00 degrees. The asymmetric unit holds Mg at (0.000, 0.000, 0.250), Mg at (0.114, 0.386, 0.000), Zn at (0.000, 0.500, 0.250), Cd at (0.000, 0.000, 0.000) and Cd at (0.192, 0.308, 0.364).

The formation energy comes out at 0.07 eV/atom.


Compound: NbTePdO6
Source: Alexandria
Functional: PBE-GGA
Structure: relaxed

The space group is P-31c (No. 163) and the conventional cell measures 5.3695, 5.3695 and 9.5555 Å, with angles of 90.00, 90.00 and 120.00 degrees. The asymmetric unit holds Nb at (0.3333, 0.6667, 0.2500), Te at (0.3333, 0.6667, 0.7500), Pd at (0.0000, 0.0000, 0.0000) and O at (0.0056, 0.3710, 0.6364).

The calculation puts the formation energy from raw total energies at -1237 meV/atom.


Compound: LiTaBi2Cl
Source: Alexandria
Functional: PBE-GGA
Structure: relaxed

The space group is P4/mmm (No. 123) and the conventional cell measures 5.720, 5.720 and 4.459 Å, with angles of 90.00, 90.00 and 90.00 degrees. The asymmetric unit holds Li at (0.000, 0.000, 0.000), Ta at (0.500, 0.500, 0.000), Bi at (0.000, 0.500, 0.500) and Cl at (0.500, 0.500, 0.500).

The calculation puts the formation energy from raw total energies at 761 meV/atom.


Compound: RbZrNpS4
Source: Alexandria
Functional: PBE-GGA
Structure: relaxed

The space group is Imma (No. 74) and the conventional cell measures 7.932, 8.898 and 11.366 Å, with angles of 90.00, 90.00 and 90.00 degrees. The asymmetric unit holds Rb at (0.000, 0.250, 0.151), Zr at (0.250, 0.250, 0.750), Np at (0.000, 0.000, 0.500), S at (0.000, 0.058, 0.741) and S at (0.212, 0.250, 0.522).

The calculation puts the formation energy from raw total energies at -1354 meV/atom.


Compound: Al4Ag3
Source: Alexandria
Functional: PBE-GGA
Structure: relaxed

The space group is I4/mmm (No. 139) and the conventional cell measures 2.902, 2.902 and 28.211 Å, with angles of 90.00, 90.00 and 90.00 degrees. The asymmetric unit holds Al at (0.000, 0.000, 0.146), Al at (0.000, 0.000, 0.285), Ag at (0.000, 0.000, 0.000) and Ag at (0.000, 0.000, 0.423).

Its energy above the most stable polymorph in this dataset is 39 meV per atom. The formation energy comes out at -0.01 eV/atom.


Compound: La4Dy2Er5
Source: Alexandria
Functional: PBE-GGA
Structure: relaxed

The space group is C2/m (No. 12) and the conventional cell measures 24.009, 3.674 and 8.885 Å, with angles of 90.00, 111.56 and 90.00 degrees. The asymmetric unit holds La at (0.040, 0.000, 0.210), La at (0.182, 0.500, 0.383), Dy at (0.111, 0.500, 0.947), Er at (0.000, 0.500, 0.500), Er at (0.126, 0.000, 0.630) and Er at (0.250, 0.000, 0.158).

Its energy above the most stable polymorph in this dataset is 0 meV per atom. The formation energy comes out at 0.05 eV/atom.


Compound: AsH2Pd3
Source: Alexandria
Functional: PBE-GGA
Structure: relaxed

The space group is C2/m (No. 12) and the conventional cell measures 15.015, 2.997 and 6.446 Å, with angles of 90.00, 91.68 and 90.00 degrees. The asymmetric unit holds As at (0.156, 0.000, 0.005), H at (0.006, 0.500, 0.772), H at (0.173, 0.000, 0.523), Pd at (0.061, 0.000, 0.675), Pd at (0.107, 0.500, 0.304) and Pd at (0.226, 0.500, 0.689).

Its total energy is -4.60 eV/atom.